1.
Entry from Alexandria: a PBEsol-optimized structure of Ca2HfSb (SCAN).

Cell: 6.0012 6.8943 6.8943 Å, 79.08 64.20 64.20°
Element x y z (fractional)
Ca 0.8750 0.9695 0.5305
Sb 0.5000 0.0000 0.0000
Sb 0.2500 0.5000 0.5000
Hf 0.7500 0.5000 0.5000
Ca 0.1555 0.4695 0.9695
Hf 0.0000 0.0000 0.0000
Ca 0.3750 0.0305 0.4695
Ca 0.5945 0.5305 0.0305

- Formation energy from raw total energies: 218 meV per atom

2.
Entry from Alexandria: a PBEsol-optimized structure of SrCaHf2Sb (SCAN).

Cell: 5.4040 5.4040 5.7437 Å, 90.00 90.00 90.00°
Element x y z (fractional)
Ca 0.0000 0.0000 0.5000
Sr 0.5000 0.5000 0.5000
Hf 0.0000 0.5000 0.0000
Hf 0.5000 0.0000 0.0000
Sb 0.0000 0.0000 0.0000

- Formation energy from raw total energies: 481 meV per atom

3.
Entry from Alexandria: a PBEsol-optimized structure of CaHfSc2Ti (SCAN).

Cell: 4.8877 5.2694 5.2694 Å, 90.00 90.00 90.00°
Element x y z (fractional)
Ti 0.5000 0.0000 0.0000
Sc 0.0000 0.5000 0.0000
Ca 0.5000 0.5000 0.5000
Hf 0.0000 0.0000 0.0000
Sc 0.0000 0.0000 0.5000

4.
Entry from Alexandria: a PBEsol-optimized structure of CaHfSe3 (SCAN).

Cell: 5.1220 5.1220 5.1220 Å, 90.00 90.00 90.00°
Element x y z (fractional)
Se 0.0000 0.5000 0.0000
Se 0.5000 0.0000 0.0000
Se 0.0000 0.0000 0.5000
Ca 0.0000 0.0000 0.0000
Hf 0.5000 0.5000 0.5000

- Formation energy from raw total energies: 166 meV per atom

Total energy
In order: -29.60; -38.43; -22.72; -26.35
Unit: eV per atom
Size of the total moment
In order: 0.495; 0.245; 0.181; 0.000
Unit: μB/atom